DFT (PBE) results for an optimized crystal structure of CdAs2Au.

DFT total energy (eV per atom): -3.19
Magnetization (μB/f.u.): 0.00
Formation energy (eV per atom): 0.18

CIF file:
```
data_CdAs2Au
_chemical_formula_sum 'Cd1 As2 Au1'
_space_group_name_H-M_alt 'P 4/m m m'
_space_group_IT_number 123
_space_group_name_Hall '-P 4 2'
_cell_length_a 3.891
_cell_length_b 3.891
_cell_length_c 5.556
_cell_angle_alpha 90.00
_cell_angle_beta 90.00
_cell_angle_gamma 90.00
loop_
_atom_site_label
_atom_site_fract_x
_atom_site_fract_y
_atom_site_fract_z
Cd1 0.000 0.000 0.000
As1 0.500 0.500 0.282
Au1 0.000 0.000 0.500
```